Entry 1:
A geometry-optimized NdErTlPb structure, computed with PBE-GGA.

Computed properties:
For the formation enthalpy at 0 K, the calculation gives -0.368 eV/atom. The value obtained for the energy relative to the lowest polymorph listed for this composition is 37 meV per atom. Its space-group type is F-43m, No. 216.

Lattice parameters (Å, degrees): 5.4656 5.4656 5.4656 60.00 60.00 60.00
Last column: nearest neighbours and their distance in Å.
Positions (direct):
Pb1 0.5000 0.5000 0.5000  4 Er 3.35, 4 Nd 3.35
Er1 0.2500 0.2500 0.2500  4 Tl 3.35, 4 Pb 3.35
Nd1 0.7500 0.7500 0.7500  4 Tl 3.35, 4 Pb 3.35
Tl1 0.0000 0.0000 0.0000  4 Nd 3.35, 4 Er 3.35

---

Entry 2:
A geometry-optimized Al2TcW structure, computed with PBE-GGA.

Computed properties:
For the formation enthalpy at 0 K, the calculation gives -0.090 eV/atom. The value obtained for the energy relative to the lowest polymorph listed for this composition is 221 meV per atom. Its space-group type is Cmmm, No. 65.

Lattice parameters (Å, degrees): 2.7371 2.7371 8.4374 90.00 90.00 108.40
Last column: nearest neighbours and their distance in Å.
Positions (direct):
Al1 0.0000 0.0000 0.0074  2 Tc 2.60, 2 W 2.70, 4 Al 2.74
Al2 0.0000 0.0000 0.4926  2 Tc 2.60, 2 W 2.70, 4 Al 2.74
Tc1 0.5000 0.5000 0.2500  4 Al 2.60, 4 Tc 2.74
W1 0.5000 0.5000 0.7500  4 Al 2.70, 4 W 2.74

---

Entry 3:
A geometry-optimized GdGaHgAu structure, computed with PBE-GGA.

Computed properties:
For the formation enthalpy at 0 K, the calculation gives -0.494 eV/atom. Its space-group type is F-43m, No. 216.

Lattice parameters (Å, degrees): 4.9866 4.9866 4.9866 60.00 60.00 60.00
Last column: nearest neighbours and their distance in Å.
Positions (direct):
Gd1 0.7500 0.7500 0.7500  4 Hg 3.05, 4 Au 3.05
Au1 0.5000 0.5000 0.5000  4 Gd 3.05, 4 Ga 3.05
Ga1 0.2500 0.2500 0.2500  4 Au 3.05, 4 Hg 3.05
Hg1 0.0000 0.0000 0.0000  4 Gd 3.05, 4 Ga 3.05